[1]
# Ba2CaAs | Alexandria | PBE-GGA | relaxed
# Total DFT energy (no corrections) ... -2.938 eV/atom
# SG ... I-4m2, No. 119
# Energy of formation from the pure elements ... -0.3135 eV per atom
data_Ba2CaAs
_space_group_name_H-M_alt 'P 1'
_space_group_IT_number 1
_cell_length_a 5.0567
_cell_length_b 5.0567
_cell_length_c 11.6295
_cell_angle_alpha 90.00
_cell_angle_beta 90.00
_cell_angle_gamma 90.00
loop_
_space_group_symop_operation_xyz
'x,y,z'
loop_
_atom_site_label
_atom_site_type_symbol
_atom_site_fract_x
_atom_site_fract_y
_atom_site_fract_z
Ba1 Ba 0.0000 0.0000 0.0000
Ba2 Ba 0.0000 0.5000 0.2500
Ba3 Ba 0.5000 0.0000 0.7500
Ba4 Ba 0.5000 0.5000 0.5000
Ca1 Ca 0.0000 0.5000 0.7500
Ca2 Ca 0.5000 0.0000 0.2500
As1 As 0.0000 0.0000 0.5000
As2 As 0.5000 0.5000 0.0000



[2]
# Ba8Re3N8 | Alexandria | PBE-GGA | relaxed
# Total DFT energy (no corrections) ... -6.849 eV/atom
# SG ... C2/m, No. 12
data_Ba8Re3N8
_space_group_name_H-M_alt 'P 1'
_space_group_IT_number 1
_cell_length_a 10.5740
_cell_length_b 10.5740
_cell_length_c 8.0379
_cell_angle_alpha 105.36
_cell_angle_beta 105.36
_cell_angle_gamma 32.07
loop_
_space_group_symop_operation_xyz
'x,y,z'
loop_
_atom_site_label
_atom_site_type_symbol
_atom_site_fract_x
_atom_site_fract_y
_atom_site_fract_z
Ba1 Ba 0.0242 0.0242 0.2745
Ba2 Ba 0.2026 0.2026 0.7956
Ba3 Ba 0.3374 0.3374 0.5369
Ba4 Ba 0.4010 0.4010 0.0540
Ba5 Ba 0.5990 0.5990 0.9460
Ba6 Ba 0.6626 0.6626 0.4631
Ba7 Ba 0.7974 0.7974 0.2044
Ba8 Ba 0.9758 0.9758 0.7255
Re1 Re 0.1861 0.1861 0.2027
Re2 Re 0.5000 0.5000 0.5000
Re3 Re 0.8139 0.8139 0.7973
N1 N 0.1080 0.1080 0.0182
N2 N 0.1780 0.1780 0.4237
N3 N 0.2724 0.2724 0.1681
N4 N 0.4765 0.4765 0.7097
N5 N 0.5235 0.5235 0.2903
N6 N 0.7276 0.7276 0.8319
N7 N 0.8220 0.8220 0.5763
N8 N 0.8920 0.8920 0.9818



[3]
# CdIn2Tc | Alexandria | PBE-GGA | relaxed
# Total DFT energy (no corrections) ... -3.884 eV/atom
# SG ... R-3m, No. 166
# Energy of formation from the pure elements ... 0.3051 eV per atom
data_CdIn2Tc
_space_group_name_H-M_alt 'P 1'
_space_group_IT_number 1
_cell_length_a 3.1823
_cell_length_b 3.1823
_cell_length_c 28.4638
_cell_angle_alpha 90.00
_cell_angle_beta 90.00
_cell_angle_gamma 120.00
loop_
_space_group_symop_operation_xyz
'x,y,z'
loop_
_atom_site_label
_atom_site_type_symbol
_atom_site_fract_x
_atom_site_fract_y
_atom_site_fract_z
Cd1 Cd 0.0000 0.0000 0.0000
Cd2 Cd 0.3333 0.6667 0.6667
Cd3 Cd 0.6667 0.3333 0.3333
In1 In 0.0000 0.0000 0.2423
In2 In 0.0000 0.0000 0.7577
In3 In 0.3333 0.6667 0.4243
In4 In 0.3333 0.6667 0.9090
In5 In 0.6667 0.3333 0.0910
In6 In 0.6667 0.3333 0.5757
Tc1 Tc 0.0000 0.0000 0.5000
Tc2 Tc 0.3333 0.6667 0.1667
Tc3 Tc 0.6667 0.3333 0.8333



[4]
# RbLa | Alexandria | PBE-GGA | relaxed
# Total DFT energy (no corrections) ... -1.237 eV/atom
# SG ... F-43m, No. 216
# Energy of formation from the pure elements ... 1.7107 eV per atom
data_RbLa
_space_group_name_H-M_alt 'P 1'
_space_group_IT_number 1
_cell_length_a 7.2197
_cell_length_b 7.2197
_cell_length_c 7.2197
_cell_angle_alpha 90.00
_cell_angle_beta 90.00
_cell_angle_gamma 90.00
loop_
_space_group_symop_operation_xyz
'x,y,z'
loop_
_atom_site_label
_atom_site_type_symbol
_atom_site_fract_x
_atom_site_fract_y
_atom_site_fract_z
Rb1 Rb 0.0000 0.0000 0.0000
Rb2 Rb 0.0000 0.5000 0.5000
Rb3 Rb 0.5000 0.0000 0.5000
Rb4 Rb 0.5000 0.5000 0.0000
La1 La 0.2500 0.2500 0.7500
La2 La 0.2500 0.7500 0.2500
La3 La 0.7500 0.2500 0.2500
La4 La 0.7500 0.7500 0.7500



[5]
# YCr2Rh2 | Alexandria | PBE-GGA | relaxed
# Total DFT energy (no corrections) ... -8.190 eV/atom
# SG ... I4/mmm, No. 139
# Energy of formation from the pure elements ... -0.1070 eV per atom
# Polymorph energy (0 for the lowest one) ... 0.0 kJ/mol of atoms
data_YCr2Rh2
_space_group_name_H-M_alt 'P 1'
_space_group_IT_number 1
_cell_length_a 4.2160
_cell_length_b 4.2160
_cell_length_c 9.3744
_cell_angle_alpha 90.00
_cell_angle_beta 90.00
_cell_angle_gamma 90.00
loop_
_space_group_symop_operation_xyz
'x,y,z'
loop_
_atom_site_label
_atom_site_type_symbol
_atom_site_fract_x
_atom_site_fract_y
_atom_site_fract_z
Y1 Y 0.0000 0.0000 0.0000
Y2 Y 0.5000 0.5000 0.5000
Cr1 Cr 0.0000 0.0000 0.3951
Cr2 Cr 0.0000 0.0000 0.6049
Cr3 Cr 0.5000 0.5000 0.1049
Cr4 Cr 0.5000 0.5000 0.8951
Rh1 Rh 0.0000 0.5000 0.2500
Rh2 Rh 0.0000 0.5000 0.7500
Rh3 Rh 0.5000 0.0000 0.2500
Rh4 Rh 0.5000 0.0000 0.7500



[6]
# Nd2Cd5Ag | Alexandria | PBE-GGA | relaxed
# Total DFT energy (no corrections) ... -2.346 eV/atom
# SG ... Cmcm, No. 63
# Energy of formation from the pure elements ... -0.2260 eV per atom
data_Nd2Cd5Ag
_space_group_name_H-M_alt 'P 1'
_space_group_IT_number 1
_cell_length_a 9.1896
_cell_length_b 9.1896
_cell_length_c 10.0267
_cell_angle_alpha 90.00
_cell_angle_beta 90.00
_cell_angle_gamma 151.05
loop_
_space_group_symop_operation_xyz
'x,y,z'
loop_
_atom_site_label
_atom_site_type_symbol
_atom_site_fract_x
_atom_site_fract_y
_atom_site_fract_z
Nd1 Nd 0.0000 0.0000 0.0000
Nd2 Nd 0.0000 0.0000 0.5000
Nd3 Nd 0.1879 0.8121 0.7500
Nd4 Nd 0.8121 0.1879 0.2500
Cd1 Cd 0.1976 0.8024 0.1029
Cd2 Cd 0.1976 0.8024 0.3971
Cd3 Cd 0.3616 0.6384 0.0306
Cd4 Cd 0.3616 0.6384 0.4694
Cd5 Cd 0.3914 0.6086 0.7500
Cd6 Cd 0.6086 0.3914 0.2500
Cd7 Cd 0.6384 0.3616 0.5306
Cd8 Cd 0.6384 0.3616 0.9694
Cd9 Cd 0.8024 0.1976 0.6029
Cd10 Cd 0.8024 0.1976 0.8971
Ag1 Ag 0.4555 0.5445 0.2500
Ag2 Ag 0.5445 0.4555 0.7500



[7]
# BaCr2AsPd | Alexandria | PBE-GGA | relaxed
# Total DFT energy (no corrections) ... -5.758 eV/atom
# SG ... P4/mmm, No. 123
# Energy of formation from the pure elements ... 0.4448 eV per atom
data_BaCr2AsPd
_space_group_name_H-M_alt 'P 1'
_space_group_IT_number 1
_cell_length_a 4.8185
_cell_length_b 4.8185
_cell_length_c 6.3150
_cell_angle_alpha 90.00
_cell_angle_beta 90.00
_cell_angle_gamma 90.00
loop_
_space_group_symop_operation_xyz
'x,y,z'
loop_
_atom_site_label
_atom_site_type_symbol
_atom_site_fract_x
_atom_site_fract_y
_atom_site_fract_z
Ba1 Ba 0.0000 0.0000 0.0000
Cr1 Cr 0.0000 0.5000 0.5000
Cr2 Cr 0.5000 0.0000 0.5000
As1 As 0.0000 0.0000 0.5000
Pd1 Pd 0.5000 0.5000 0.0000



[8]
# BaFe2Se | Alexandria | PBE-GGA | relaxed
# Total DFT energy (no corrections) ... -5.180 eV/atom
# SG ... P4/mmm, No. 123
data_BaFe2Se
_space_group_name_H-M_alt 'P 1'
_space_group_IT_number 1
_cell_length_a 3.5982
_cell_length_b 3.5982
_cell_length_c 6.8307
_cell_angle_alpha 90.00
_cell_angle_beta 90.00
_cell_angle_gamma 90.00
loop_
_space_group_symop_operation_xyz
'x,y,z'
loop_
_atom_site_label
_atom_site_type_symbol
_atom_site_fract_x
_atom_site_fract_y
_atom_site_fract_z
Ba1 Ba 0.0000 0.0000 0.0000
Fe1 Fe 0.5000 0.5000 0.3375
Fe2 Fe 0.5000 0.5000 0.6625
Se1 Se 0.0000 0.0000 0.5000



[9]
# LiPm3Hg2 | Alexandria | PBE-GGA | relaxed
# Total DFT energy (no corrections) ... -3.086 eV/atom
# SG ... P4/mmm, No. 123
# Energy of formation from the pure elements ... -0.2908 eV per atom
# Polymorph energy (0 for the lowest one) ... 1.6 kJ/mol of atoms
data_LiPm3Hg2
_space_group_name_H-M_alt 'P 1'
_space_group_IT_number 1
_cell_length_a 3.8460
_cell_length_b 3.8460
_cell_length_c 11.1628
_cell_angle_alpha 90.00
_cell_angle_beta 90.00
_cell_angle_gamma 90.00
loop_
_space_group_symop_operation_xyz
'x,y,z'
loop_
_atom_site_label
_atom_site_type_symbol
_atom_site_fract_x
_atom_site_fract_y
_atom_site_fract_z
Li1 Li 0.0000 0.0000 0.0000
Pm1 Pm 0.5000 0.5000 0.1690
Pm2 Pm 0.5000 0.5000 0.5000
Pm3 Pm 0.5000 0.5000 0.8310
Hg1 Hg 0.0000 0.0000 0.3269
Hg2 Hg 0.0000 0.0000 0.6731



[10]
# NaInS2 | Alexandria | PBE-GGA | relaxed
# Total DFT energy (no corrections) ... -3.932 eV/atom
# SG ... P-3m1, No. 164
data_NaInS2
_space_group_name_H-M_alt 'P 1'
_space_group_IT_number 1
_cell_length_a 3.8293
_cell_length_b 3.8293
_cell_length_c 6.8328
_cell_angle_alpha 90.00
_cell_angle_beta 90.00
_cell_angle_gamma 120.00
loop_
_space_group_symop_operation_xyz
'x,y,z'
loop_
_atom_site_label
_atom_site_type_symbol
_atom_site_fract_x
_atom_site_fract_y
_atom_site_fract_z
Na1 Na 0.0000 0.0000 0.0000
In1 In 0.0000 0.0000 0.5000
S1 S 0.3333 0.6667 0.2817
S2 S 0.6667 0.3333 0.7183



[11]
# Cr2InAu | Alexandria | PBE-GGA | relaxed
# Total DFT energy (no corrections) ... -5.842 eV/atom
# SG ... I4/mmm, No. 139
# Energy of formation from the pure elements ... 0.4732 eV per atom
data_Cr2InAu
_space_group_name_H-M_alt 'P 1'
_space_group_IT_number 1
_cell_length_a 3.8538
_cell_length_b 3.8538
_cell_length_c 8.3869
_cell_angle_alpha 90.00
_cell_angle_beta 90.00
_cell_angle_gamma 90.00
loop_
_space_group_symop_operation_xyz
'x,y,z'
loop_
_atom_site_label
_atom_site_type_symbol
_atom_site_fract_x
_atom_site_fract_y
_atom_site_fract_z
Cr1 Cr 0.0000 0.5000 0.2500
Cr2 Cr 0.0000 0.5000 0.7500
Cr3 Cr 0.5000 0.0000 0.2500
Cr4 Cr 0.5000 0.0000 0.7500
In1 In 0.0000 0.0000 0.0000
In2 In 0.5000 0.5000 0.5000
Au1 Au 0.0000 0.0000 0.5000
Au2 Au 0.5000 0.5000 0.0000



| no. | N(E_F) (states/eV per atom) |
| --- | --- |
| 1 | 0.90 |
| 2 | 0.72 |
| 3 | 0.85 |
| 4 | 1.00 |
| 5 | 1.32 |
| 6 | 0.70 |
| 7 | 1.18 |
| 8 | 1.11 |
| 9 | 1.17 |
| 10 | 0.00 |
| 11 | 1.25 |